(1)
The following is a DFT calculation (PBE) of a geometry-optimized TcAsRhBr2 structure.

Unit cell a=5.1459 b=5.1459 c=4.7297 alpha=90.00 beta=90.00 gamma=90.00
Closest atoms and distances in Å follow each position.
Atoms (fractional coordinates):
Tc  0.0000  0.0000  0.0000  8 Br 3.49, 4 As 3.64
As  0.5000  0.5000  0.0000  2 Rh 2.36
Rh  0.5000  0.5000  0.5000  2 As 2.36, 4 Br 2.57
Br  0.0000  0.5000  0.5000  2 Rh 2.57
Br  0.5000  0.0000  0.5000  2 Rh 2.57

- volume (Å³ per cell) = 125.25
- formation energy (no corrections) (meV per atom) = 879.0
- offset from the most stable computed form (meV per atom) = 0
- SG = P4/mmm
- E (eV per atom) = -4.264
- M_tot (μB/cell) = 4.26



(2)
The following is a DFT calculation (PBE) of a geometry-optimized BaCaTe2 structure.

Unit cell a=4.0884 b=4.0884 c=8.2340 alpha=90.00 beta=90.00 gamma=91.36
Closest atoms and distances in Å follow each position.
Atoms (fractional coordinates):
Ba  0.0000  0.0000  0.0000  8 Te 3.61-3.66
Ca  0.0000  0.0000  0.5000  8 Te 3.44-3.49
Te  0.5000  0.5000  0.2681  4 Ca 3.44-3.49, 4 Ba 3.61-3.66, 1 Te 3.82
Te  0.5000  0.5000  0.7319  4 Ca 3.44-3.49, 4 Ba 3.61-3.66, 1 Te 3.82

- volume (Å³ per cell) = 137.59
- formation energy (no corrections) (meV per atom) = -1455.7
- offset from the most stable computed form (meV per atom) = 240
- SG = Cmmm
- E (eV per atom) = -4.008
- M_tot (μB/cell) = 0.00



(3)
The following is a DFT calculation (PBE) of a geometry-optimized MgFe2PtN structure.

Unit cell a=3.8085 b=3.8085 c=4.2432 alpha=90.00 beta=90.00 gamma=90.00
Closest atoms and distances in Å follow each position.
Atoms (fractional coordinates):
Mg  0.0000  0.0000  0.0000  2 N 2.12
Fe  0.0000  0.5000  0.5000  2 N 1.90
Fe  0.5000  0.0000  0.5000  2 N 1.90
Pt  0.5000  0.5000  0.0000  4 Mg 2.69, 8 Fe 2.85
N  0.0000  0.0000  0.5000  4 Fe 1.90, 2 Mg 2.12

- volume (Å³ per cell) = 61.55
- formation energy (no corrections) (meV per atom) = -287.0
- offset from the most stable computed form (meV per atom) = 0
- SG = P4/mmm
- E (eV per atom) = -6.864
- M_tot (μB/cell) = 4.85



(4)
The following is a DFT calculation (PBE) of a geometry-optimized Tb7Dy5Tm structure.

Unit cell a=8.6583 b=8.6583 c=8.6583 alpha=134.89 beta=100.17 gamma=96.76
Closest atoms and distances in Å follow each position.
Atoms (fractional coordinates):
Tb  0.0000  0.0000  0.0000  3 Tb 3.32-3.54, 4 Dy 3.51, 1 Tm 3.54
Tb  0.0007  0.5007  0.5000  6 Tb 3.32-3.47, 4 Dy 3.40
Tb  0.0804  0.7523  0.3281  5 Dy 3.43-3.45, 4 Tb 3.47-3.82, 1 Tm 3.71
Tb  0.3077  0.3077  0.0000  7 Tb 3.54-3.88, 4 Dy 3.72
Tb  0.4241  0.7523  0.6719  5 Dy 3.43-3.45, 4 Tb 3.47-3.82, 1 Tm 3.71
Tb  0.5810  0.2515  0.3295  5 Dy 3.43-3.47, 5 Tb 3.44-3.79
Tb  0.9220  0.2515  0.6705  5 Dy 3.43-3.47, 5 Tb 3.44-3.79
Dy  0.2758  0.2716  0.5409  2 Dy 3.08-3.09, 3 Tb 3.40-3.44
Dy  0.2758  0.7348  0.0042  2 Dy 3.08-3.09, 3 Tb 3.40-3.44
Dy  0.5002  0.0002  0.5000  4 Dy 3.09, 4 Tb 3.43-3.46
Dy  0.7307  0.2716  0.9958  2 Dy 3.08-3.09, 3 Tb 3.40-3.44
Dy  0.7307  0.7348  0.4591  2 Dy 3.08-3.09, 3 Tb 3.40-3.44
Tm  0.6923  0.6923  0.0000  7 Tb 3.54-3.88, 4 Dy 3.67

- volume (Å³ per cell) = 424.43
- ΔE_f (eV/atom) = 0.257
- SG = Imm2
- E (eV per atom) = -4.350
- M_tot (μB/cell) = 0.00



(5)
The following is a DFT calculation (PBE) of a geometry-optimized Tm12Co6Ru structure.

Unit cell a=7.8211 b=7.8211 c=7.8211 alpha=100.16 beta=100.16 gamma=100.16
Closest atoms and distances in Å follow each position.
Atoms (fractional coordinates):
Tm  0.0517  0.9096  0.6740  2 Co 2.64-2.67, 1 Ru 2.64
Tm  0.0904  0.3260  0.9483  2 Co 2.64-2.67, 1 Ru 2.64
Tm  0.1783  0.5680  0.4103  4 Co 2.62-2.87
Tm  0.3260  0.9483  0.0904  2 Co 2.64-2.67, 1 Ru 2.64
Tm  0.4103  0.1783  0.5680  4 Co 2.62-2.87
Tm  0.4320  0.5897  0.8217  4 Co 2.62-2.87
Tm  0.5680  0.4103  0.1783  4 Co 2.62-2.87
Tm  0.5897  0.8217  0.4320  4 Co 2.62-2.87
Tm  0.6740  0.0517  0.9096  2 Co 2.64-2.67, 1 Ru 2.64
Tm  0.8217  0.4320  0.5897  4 Co 2.62-2.87
Tm  0.9096  0.6740  0.0517  2 Co 2.64-2.67, 1 Ru 2.64
Tm  0.9483  0.0904  0.3260  2 Co 2.64-2.67, 1 Ru 2.64
Co  0.1368  0.3165  0.6170  6 Tm 2.62-2.87
Co  0.3165  0.6170  0.1368  6 Tm 2.62-2.87
Co  0.3830  0.8632  0.6835  6 Tm 2.62-2.87
Co  0.6170  0.1368  0.3165  6 Tm 2.62-2.87
Co  0.6835  0.3830  0.8632  6 Tm 2.62-2.87
Co  0.8632  0.6835  0.3830  6 Tm 2.62-2.87
Ru  0.0000  0.0000  0.0000  6 Tm 2.64

- volume (Å³ per cell) = 452.78
- ΔE_f (eV/atom) = -0.103
- SG = R-3
- E (eV per atom) = -5.659
- M_tot (μB/cell) = 0.00



(6)
The following is a DFT calculation (PBE) of a geometry-optimized CuNiSb2Br structure.

Unit cell a=5.0630 b=5.0630 c=4.8704 alpha=90.00 beta=90.00 gamma=90.00
Closest atoms and distances in Å follow each position.
Atoms (fractional coordinates):
Cu  0.0000  0.0000  0.0000  2 Br 2.44, 4 Sb 2.53
Ni  0.5000  0.5000  0.5000  8 Sb 3.51, 4 Br 3.58
Sb  0.0000  0.5000  0.0000  2 Cu 2.53
Sb  0.5000  0.0000  0.0000  2 Cu 2.53
Br  0.0000  0.0000  0.5000  2 Cu 2.44

- volume (Å³ per cell) = 124.84
- formation energy (no corrections) (meV per atom) = 816.3
- SG = P4/mmm
- E (eV per atom) = -3.143
- M_tot (μB/cell) = 0.00



(7)
The following is a DFT calculation (PBE) of a geometry-optimized BaLa2Y structure.

Unit cell a=6.1113 b=6.1113 c=6.1113 alpha=60.00 beta=60.00 gamma=60.00
Closest atoms and distances in Å follow each position.
Atoms (fractional coordinates):
Ba  0.0000  0.0000  0.0000  4 La 3.74, 4 Y 3.74
La  0.5000  0.5000  0.5000  4 La 3.74, 4 Y 3.74
La  0.7500  0.7500  0.7500  4 La 3.74, 4 Ba 3.74
Y  0.2500  0.2500  0.2500  4 La 3.74, 4 Ba 3.74

- volume (Å³ per cell) = 161.39
- offset from the most stable computed form (meV per atom) = 147
- ΔE_f (eV/atom) = 0.253
- SG = F-43m
- E (eV per atom) = -4.307
- M_tot (μB/cell) = 0.83



(8)
The following is a DFT calculation (PBE) of a geometry-optimized KAgBr2 structure.

Unit cell a=4.2617 b=4.0037 c=7.6505 alpha=90.00 beta=90.25 gamma=90.00
Closest atoms and distances in Å follow each position.
Atoms (fractional coordinates):
K  0.0000  0.0000  0.0000  8 Br 3.48-3.49
Ag  0.5000  0.0000  0.5000  4 Br 2.78
Br  0.4990  0.5000  0.7526  2 Ag 2.78
Br  0.5010  0.5000  0.2474  2 Ag 2.78

- volume (Å³ per cell) = 130.54
- formation energy (no corrections) (meV per atom) = -974.2
- SG = P2/m
- E (eV per atom) = -2.798
- M_tot (μB/cell) = 0.00



(9)
The following is a DFT calculation (PBE) of a geometry-optimized Th2ScFe structure.

Unit cell a=6.8927 b=9.6484 c=5.9980 alpha=90.00 beta=90.00 gamma=90.00
Closest atoms and distances in Å follow each position.
Atoms (fractional coordinates):
Th  0.1663  0.0681  0.1786  2 Fe 2.69-2.75
Th  0.1663  0.4319  0.1786  2 Fe 2.69-2.75
Th  0.3337  0.5681  0.6786  2 Fe 2.69-2.75
Th  0.3337  0.9319  0.6786  2 Fe 2.69-2.75
Th  0.6663  0.0681  0.3214  2 Fe 2.69-2.75
Th  0.6663  0.4319  0.3214  2 Fe 2.69-2.75
Th  0.8337  0.5681  0.8214  2 Fe 2.69-2.75
Th  0.8337  0.9319  0.8214  2 Fe 2.69-2.75
Sc  0.0555  0.2500  0.6652  2 Fe 2.69-2.72
Sc  0.4445  0.7500  0.1652  2 Fe 2.69-2.72
Sc  0.5555  0.2500  0.8348  2 Fe 2.69-2.72
Sc  0.9445  0.7500  0.3348  2 Fe 2.69-2.72
Fe  0.1145  0.7500  0.9251  4 Th 2.69-2.75, 2 Sc 2.69-2.72
Fe  0.3855  0.2500  0.4251  4 Th 2.69-2.75, 2 Sc 2.69-2.72
Fe  0.6145  0.7500  0.5749  4 Th 2.69-2.75, 2 Sc 2.69-2.72
Fe  0.8855  0.2500  0.0749  4 Th 2.69-2.75, 2 Sc 2.69-2.72

- volume (Å³ per cell) = 398.89
- offset from the most stable computed form (meV per atom) = 0
- ΔE_f (eV/atom) = -0.045
- SG = Pnma
- E (eV per atom) = -7.454
- M_tot (μB/cell) = 0.00



(10)
The following is a DFT calculation (PBE) of a geometry-optimized Y2SiS structure.

Unit cell a=7.9551 b=7.9551 c=7.9551 alpha=134.36 beta=134.36 gamma=66.53
Closest atoms and distances in Å follow each position.
Atoms (fractional coordinates):
Y  0.1193  0.6250  0.9943  2 S 2.72, 2 Si 2.76
Y  0.3750  0.3693  0.4943  2 S 2.72, 2 Si 2.76
Y  0.6307  0.1250  0.0057  2 S 2.72, 2 Si 2.76
Y  0.8750  0.8807  0.5057  2 S 2.72, 2 Si 2.76
Si  0.2500  0.7500  0.5000  4 Y 2.76
Si  0.5000  0.5000  0.0000  4 Y 2.76
S  0.0000  0.0000  0.0000  4 Y 2.72
S  0.7500  0.2500  0.5000  4 Y 2.72

- volume (Å³ per cell) = 253.29
- formation energy (no corrections) (meV per atom) = -870.8
- offset from the most stable computed form (meV per atom) = 559
- SG = I-42d
- E (eV per atom) = -6.490
- M_tot (μB/cell) = 0.00



(11)
The following is a DFT calculation (PBE) of a geometry-optimized K2Cd4Sn3Ge structure.

Unit cell a=4.7617 b=4.7617 c=12.6706 alpha=90.00 beta=90.00 gamma=90.00
Closest atoms and distances in Å follow each position.
Atoms (fractional coordinates):
K  0.0000  0.5000  0.2465  8 Cd 3.65-4.00, 6 Sn 3.67-3.93, 2 Ge 3.93
K  0.5000  0.0000  0.7535  8 Cd 3.65-4.00, 6 Sn 3.67-3.93, 2 Ge 3.93
Cd  0.0000  0.0000  0.5000  4 Sn 2.96
Cd  0.0000  0.5000  0.8641  3 Sn 2.85-2.94, 2 Ge 2.94
Cd  0.5000  0.0000  0.1359  3 Sn 2.85-2.94, 2 Ge 2.94
Cd  0.5000  0.5000  0.5000  4 Sn 2.96
Sn  0.0000  0.0000  0.0000  4 Cd 2.94
Sn  0.0000  0.5000  0.6391  5 Cd 2.85-2.96
Sn  0.5000  0.0000  0.3609  5 Cd 2.85-2.96
Ge  0.5000  0.5000  0.0000  4 Cd 2.94

- volume (Å³ per cell) = 287.29
- ΔE_f (eV/atom) = -0.112
- SG = P-4m2
- E (eV per atom) = -2.360
- M_tot (μB/cell) = 0.00



(12)
The following is a DFT calculation (PBE) of a geometry-optimized Ta3NbRu2 structure.

Unit cell a=3.2230 b=3.2230 c=9.6580 alpha=90.00 beta=90.00 gamma=90.00
Closest atoms and distances in Å follow each position.
Atoms (fractional coordinates):
Ta  0.0000  0.0000  0.0000  8 Ru 2.74
Ta  0.0000  0.0000  0.3309  4 Nb 2.80, 4 Ru 2.82
Ta  0.0000  0.0000  0.6691  4 Nb 2.80, 4 Ru 2.82
Nb  0.5000  0.5000  0.5000  8 Ta 2.80
Ru  0.5000  0.5000  0.1582  8 Ta 2.74-2.82, 1 Ru 3.06
Ru  0.5000  0.5000  0.8418  8 Ta 2.74-2.82, 1 Ru 3.06

- volume (Å³ per cell) = 100.33
- offset from the most stable computed form (meV per atom) = 47
- ΔE_f (eV/atom) = -0.276
- SG = P4/mmm
- E (eV per atom) = -10.973
- M_tot (μB/cell) = 0.00



(13)
The following is a DFT calculation (PBE) of a geometry-optimized Ti2HgTe structure.

Unit cell a=7.8936 b=7.8936 c=7.8936 alpha=136.32 beta=136.32 gamma=63.48
Closest atoms and distances in Å follow each position.
Atoms (fractional coordinates):
Ti  0.1049  0.6250  0.9799  2 Hg 2.61, 2 Te 2.74
Ti  0.3750  0.3549  0.4799  2 Hg 2.61, 2 Te 2.74
Ti  0.6451  0.1250  0.0201  2 Hg 2.61, 2 Te 2.74
Ti  0.8750  0.8951  0.5201  2 Hg 2.61, 2 Te 2.74
Hg  0.0000  0.0000  0.0000  4 Ti 2.61
Hg  0.7500  0.2500  0.5000  4 Ti 2.61
Te  0.2500  0.7500  0.5000  4 Ti 2.74
Te  0.5000  0.5000  0.0000  4 Ti 2.74

- volume (Å³ per cell) = 231.51
- formation energy (no corrections) (meV per atom) = 471.5
- offset from the most stable computed form (meV per atom) = 524
- SG = I-42d
- E (eV per atom) = -4.337
- M_tot (μB/cell) = 0.00



(14)
The following is a DFT calculation (PBE) of a geometry-optimized Tm3Cu4Ni4 structure.

Unit cell a=6.1988 b=6.1988 c=6.1988 alpha=109.47 beta=109.47 gamma=109.47
Closest atoms and distances in Å follow each position.
Atoms (fractional coordinates):
Tm  0.0000  0.5000  0.5000  4 Ni 2.95, 4 Cu 2.97
Tm  0.5000  0.0000  0.5000  4 Ni 2.95, 4 Cu 2.97
Tm  0.5000  0.5000  0.0000  4 Ni 2.95, 4 Cu 2.97
Cu  0.0000  0.0000  0.7559  4 Ni 2.23-2.42, 3 Cu 2.47
Cu  0.0000  0.7559  0.0000  4 Ni 2.23-2.42, 3 Cu 2.47
Cu  0.2441  0.2441  0.2441  4 Ni 2.23-2.42, 3 Cu 2.47
Cu  0.7559  0.0000  0.0000  4 Ni 2.23-2.42, 3 Cu 2.47
Ni  0.0000  0.0000  0.3963  4 Cu 2.23-2.42
Ni  0.0000  0.3963  0.0000  4 Cu 2.23-2.42
Ni  0.3963  0.0000  0.0000  4 Cu 2.23-2.42
Ni  0.6037  0.6037  0.6037  4 Cu 2.23-2.42

- volume (Å³ per cell) = 183.36
- ΔE_f (eV/atom) = -0.123
- SG = I-43m
- E (eV per atom) = -4.934
- M_tot (μB/cell) = 0.00



(15)
The following is a DFT calculation (PBE) of a geometry-optimized Tb2GdEr structure.

Unit cell a=5.6634 b=5.6634 c=5.6634 alpha=60.00 beta=60.00 gamma=60.00
Closest atoms and distances in Å follow each position.
Atoms (fractional coordinates):
Tb  0.2500  0.2500  0.2500  4 Er 3.47, 4 Gd 3.47
Tb  0.7500  0.7500  0.7500  4 Er 3.47, 4 Gd 3.47
Gd  0.0000  0.0000  0.0000  8 Tb 3.47
Er  0.5000  0.5000  0.5000  8 Tb 3.47

- volume (Å³ per cell) = 128.45
- offset from the most stable computed form (meV per atom) = 105
- ΔE_f (eV/atom) = 0.123
- SG = Fm-3m
- E (eV per atom) = -6.853
- M_tot (μB/cell) = 8.98